The following is a PBE-GGA calculation of a relaxed Sm6Y5Tm2 crystal, from Alexandria via LeMat-Bulk.

energy of formation: 0.10 eV per atom
crystal system: orthorhombic

Cell: 11.647 20.516 3.613 Å, 90.00 90.00 90.00°
Space group Pbam (No. 55)
One atom of each set of equivalent atoms:
Sm 0.063 0.080 0.000 (multiplicity 4)
Sm 0.083 0.366 0.000 (multiplicity 4)
Sm 0.171 0.637 0.500 (multiplicity 4)
Y 0.000 0.500 0.500 (multiplicity 2)
Y 0.092 0.226 0.500 (multiplicity 4)
Y 0.197 0.944 0.500 (multiplicity 4)
Tm 0.166 0.790 0.000 (multiplicity 4)